No. 1
Below is a relaxed DyY2Pb crystal, with properties calculated at the PBE level.

Computed properties:
Offset from the most stable computed form (meV/atom): 0

Cell: 4.883 4.883 4.834 Å, 90.00 90.00 90.00°
Space group P4/mmm (No. 123)
Inequivalent atoms, fractional coordinates:
Dy1 0.000 0.000 0.000 x1
Y1 0.000 0.500 0.500 x2
Pb1 0.500 0.500 0.000 x1

***

No. 2
Below is a relaxed Ba2TmZrS6 crystal, with properties calculated at the PBE level.

Computed properties:
Formation energy without anion corrections (kJ/mol of atoms): -168.8

Cell: 7.257 10.262 7.259 Å, 90.00 90.00 90.00°
Space group Pmmn (No. 59, origin choice 2)
Inequivalent atoms, fractional coordinates:
Ba1 0.250 0.000 0.249 x4
Tm1 0.250 0.250 0.749 x2
Zr1 0.250 0.750 0.751 x2
S1 0.004 0.750 0.505 x4
S2 0.004 0.750 0.997 x4
S3 0.250 0.504 0.751 x4

***

No. 3
Below is a relaxed ZrCrBr2 crystal, with properties calculated at the PBE level.

Computed properties:
Formation energy without anion corrections (kJ/mol of atoms): -31.2
Offset from the most stable computed form (meV/atom): 71

Cell: 15.288 3.458 4.339 Å, 90.00 94.23 90.00°
Space group C2/m (No. 12)
Inequivalent atoms, fractional coordinates:
Zr1 0.000 0.000 0.000 x2
Cr1 0.000 0.500 0.500 x2
Br1 0.136 0.500 0.214 x4

***

No. 4
Below is a relaxed MnSnPHS crystal, with properties calculated at the PBE level.

Computed properties:
Offset from the most stable computed form (meV/atom): 46

Cell: 3.251 3.040 8.037 Å, 90.00 97.18 90.00°
Space group Pm (No. 6)
Inequivalent atoms, fractional coordinates:
Mn1 0.000 0.000 0.000 x1
Sn1 0.892 0.000 0.642 x1
P1 0.467 0.500 0.893 x1
H1 0.440 0.500 0.288 x1
S1 0.033 0.500 0.214 x1

***

In Mg/m³, the ρ values for the records above are, in order, 7.89 4.47 4.40 5.01.
In eV/atom, the total DFT energy (no corrections) values for the records above are, in order, -5.591 -5.912 -5.702 -5.258.